Entry 1:
Here is crystalline CoMoAsAu at its relaxed geometry from the Open Quantum Materials Database. Energies are from PBE.

Cell: 6.3378 6.3378 6.3378 Å, 90.00 90.00 90.00°
With the nearest neighbours (Å) after each atom.
Space group F-43m (No. 216)
One atom of each set of equivalent atoms:
Co1 0.0000 0.0000 0.0000 (multiplicity 4)  4 As 2.74, 4 Mo 2.74
Mo1 0.2500 0.2500 0.2500 (multiplicity 4)  4 Co 2.74, 4 Au 2.74
As1 0.2500 0.2500 0.7500 (multiplicity 4)  4 Co 2.74, 4 Au 2.74
Au1 0.0000 0.0000 0.5000 (multiplicity 4)  4 As 2.74, 4 Mo 2.74

Results
* magnetic moment: 3.9 Bohr magnetons per cell
* energy relative to the lowest polymorph listed for this composition: 337 meV per atom

Entry 2:
Here is crystalline Hf3Br2 at its relaxed geometry from the Open Quantum Materials Database. Energies are from PBE.

Cell: 7.0606 7.0606 15.4244 Å, 90.00 90.00 120.00°
With the nearest neighbours (Å) after each atom.
Space group R-3c (No. 167, hexagonal axes)
One atom of each set of equivalent atoms:
Hf1 0.0000 0.2471 0.2500 (multiplicity 18)  4 Br 2.72-2.88, 2 Hf 3.02
Br1 0.0000 0.0000 0.1010 (multiplicity 12)  6 Hf 2.72-2.88

Results
* magnetic moment: 0.0 Bohr magnetons per cell
* E: -6.397 eV per atom

Entry 3:
Here is crystalline AgPbO3 at its relaxed geometry from the Open Quantum Materials Database. Energies are from PBE.

Cell: 5.8091 8.3824 5.4844 Å, 90.00 90.00 90.00°
With the nearest neighbours (Å) after each atom.
Space group Pnma (No. 62)
One atom of each set of equivalent atoms:
Ag1 0.0754 0.2500 0.0147 (multiplicity 4)  4 O 2.17-2.33
Pb1 0.0000 0.0000 0.5000 (multiplicity 4)  6 O 2.15-2.33
O1 0.0905 0.7500 0.3389 (multiplicity 4)  2 Ag 2.17, 2 Pb 2.33
O2 0.2022 0.5863 0.8068 (multiplicity 8)  2 Pb 2.15-2.18, 1 Ag 2.33

Results
* E: -4.687 eV per atom

Entry 4:
Here is crystalline SbAsAuO at its relaxed geometry from the Open Quantum Materials Database. Energies are from PBE.

Cell: 3.8610 6.0311 7.2664 Å, 90.00 90.00 90.00°
With the nearest neighbours (Å) after each atom.
Space group Pmc2_1 (No. 26)
One atom of each set of equivalent atoms:
Sb1 0.0000 0.0425 0.0000 (multiplicity 2)  2 O 2.07-2.09
As1 0.5000 0.3170 0.8795 (multiplicity 2)  2 Au 2.47-2.51, 2 Sb 2.69
Au1 0.5000 0.3141 0.5396 (multiplicity 2)  2 As 2.47-2.51
O1 0.0000 0.1607 0.2698 (multiplicity 2)  2 Sb 2.07-2.09

Results
* energy relative to the lowest polymorph listed for this composition: 91 meV per atom

Entry 5:
Here is crystalline KDyMgS3 at its relaxed geometry from the Open Quantum Materials Database. Energies are from PBE.

Cell: 4.0824 14.3244 10.7590 Å, 90.00 90.00 90.00°
With the nearest neighbours (Å) after each atom.
Space group Cmcm (No. 63)
One atom of each set of equivalent atoms:
K1 0.0000 0.2440 0.2500 (multiplicity 4)  6 S 3.30-3.47
Dy1 0.0000 0.5000 0.0000 (multiplicity 4)  6 S 2.76-2.84
Mg1 0.0000 0.0331 0.7500 (multiplicity 4)  4 S 2.39-2.46
S1 0.0000 0.1210 0.5608 (multiplicity 8)  1 Mg 2.39
S2 0.0000 0.4369 0.7500 (multiplicity 4)  2 Mg 2.46

Results
* magnetic moment: 0.0 Bohr magnetons per cell
* E: -4.942 eV per atom

Entry 6:
Here is crystalline Lu2Zn17 at its relaxed geometry from the Open Quantum Materials Database. Energies are from PBE.

Cell: 8.8876 8.8876 13.0523 Å, 90.00 90.00 120.00°
With the nearest neighbours (Å) after each atom.
Space group R-3m (No. 166, hexagonal axes)
One atom of each set of equivalent atoms:
Lu1 0.0000 0.0000 0.1649 (multiplicity 6)  19 Zn 3.06-3.42
Zn1 0.0000 0.0000 0.3992 (multiplicity 6)  7 Zn 2.63-2.85
Zn2 0.0000 0.2997 0.5000 (multiplicity 18)  8 Zn 2.56-2.74
Zn3 0.0000 0.5000 0.0000 (multiplicity 9)  10 Zn 2.56-2.71
Zn4 0.0101 0.5051 0.6520 (multiplicity 18)  8 Zn 2.52-2.74

Results
* magnetic moment: 0.0 Bohr magnetons per cell
* formation enthalpy at 0 K: -0.200 eV/atom

Entry 7:
Here is crystalline LuBeTcMo at its relaxed geometry from the Open Quantum Materials Database. Energies are from PBE.

Cell: 6.3420 6.3420 6.3420 Å, 90.00 90.00 90.00°
With the nearest neighbours (Å) after each atom.
Space group F-43m (No. 216)
One atom of each set of equivalent atoms:
Lu1 0.0000 0.0000 0.0000 (multiplicity 4)  4 Tc 2.75, 4 Be 2.75
Be1 0.2500 0.2500 0.7500 (multiplicity 4)  4 Mo 2.75, 4 Lu 2.75
Tc1 0.2500 0.2500 0.2500 (multiplicity 4)  4 Mo 2.75, 4 Lu 2.75
Mo1 0.0000 0.0000 0.5000 (multiplicity 4)  4 Tc 2.75, 4 Be 2.75

Results
* magnetic moment: 0.0 Bohr magnetons per cell
* energy relative to the lowest polymorph listed for this composition: 0 meV per atom

Entry 8:
Here is crystalline HoEr2In at its relaxed geometry from the Open Quantum Materials Database. Energies are from PBE.

Cell: 4.7961 4.7961 4.8125 Å, 90.00 90.00 90.00°
With the nearest neighbours (Å) after each atom.
Space group P4/mmm (No. 123)
One atom of each set of equivalent atoms:
Ho1 0.0000 0.0000 0.0000 (multiplicity 1)  4 In 3.39, 8 Er 3.40
Er1 0.0000 0.5000 0.5000 (multiplicity 2)  4 Er 3.39, 4 In 3.40, 4 Ho 3.40
In1 0.5000 0.5000 0.0000 (multiplicity 1)  4 Ho 3.39, 8 Er 3.40

Results
* magnetic moment: 0.1 Bohr magnetons per cell
* E: -4.373 eV per atom

Entry 9:
Here is crystalline TaTlCo2 at its relaxed geometry from the Open Quantum Materials Database. Energies are from PBE.

Cell: 6.2711 6.2711 6.2711 Å, 90.00 90.00 90.00°
With the nearest neighbours (Å) after each atom.
Space group F-43m (No. 216)
One atom of each set of equivalent atoms:
Ta1 0.0000 0.0000 0.0000 (multiplicity 4)  4 Tl 2.72, 4 Co 2.72
Tl1 0.2500 0.2500 0.7500 (multiplicity 4)  4 Ta 2.72, 4 Co 2.72
Co1 0.0000 0.0000 0.5000 (multiplicity 4)  4 Tl 2.72, 4 Co 2.72
Co2 0.2500 0.2500 0.2500 (multiplicity 4)  4 Ta 2.72, 4 Co 2.72

Results
* magnetic moment: 7.2 Bohr magnetons per cell
* E: -6.508 eV per atom

Entry 10:
Here is crystalline Nd4BI2Br3 at its relaxed geometry from the Open Quantum Materials Database. Energies are from PBE.

Cell: 19.1999 4.1107 8.5448 Å, 90.00 102.52 90.00°
With the nearest neighbours (Å) after each atom.
Space group C2/m (No. 12)
One atom of each set of equivalent atoms:
Nd1 0.9995 0.0000 0.2121 (multiplicity 4)  2 B 2.74, 1 Br 3.02
Nd2 0.1402 0.5000 0.0768 (multiplicity 4)  1 B 2.63
B1 0.0000 0.5000 0.0000 (multiplicity 2)  6 Nd 2.63-2.74
I1 0.1726 0.0000 0.8130 (multiplicity 4)  4 Nd 3.21-3.51
Br1 0.0000 0.5000 0.5000 (multiplicity 2)  4 Nd 3.20
Br2 0.1592 0.0000 0.3344 (multiplicity 4)  3 Nd 2.98-3.02

Results
* magnetic moment: 0.0 Bohr magnetons per cell
* E: -4.672 eV per atom

Entry 11:
Here is crystalline NaAgPtS3 at its relaxed geometry from the Open Quantum Materials Database. Energies are from PBE.

Cell: 3.6622 13.4647 10.0066 Å, 90.00 90.00 90.00°
With the nearest neighbours (Å) after each atom.
Space group Cmcm (No. 63)
One atom of each set of equivalent atoms:
Na1 0.0000 0.2050 0.2500 (multiplicity 4)  4 S 2.82-2.88, 2 Ag 3.11
Ag1 0.0000 0.1080 0.7500 (multiplicity 4)  2 S 2.38
Pt1 0.0000 0.5000 0.0000 (multiplicity 4)  6 S 2.42-2.58
S1 0.0000 0.1173 0.5124 (multiplicity 8)  1 Ag 2.38, 2 Pt 2.42
S2 0.0000 0.4543 0.7500 (multiplicity 4)  2 Pt 2.58, 2 Ag 2.76, 2 Na 2.82

Results
* magnetic moment: 0.3 Bohr magnetons per cell
* E: -4.067 eV per atom

Entry 12:
Here is crystalline Nd2SmNiPt8 at its relaxed geometry from the Open Quantum Materials Database. Energies are from PBE.

Cell: 5.4441 5.4441 26.2649 Å, 90.00 90.00 120.00°
With the nearest neighbours (Å) after each atom.
Space group R-3m (No. 166, hexagonal axes)
One atom of each set of equivalent atoms:
Nd1 0.0000 0.0000 0.1402 (multiplicity 6)  9 Pt 3.06-3.20, 3 Ni 3.22
Sm1 0.0000 0.0000 0.0000 (multiplicity 3)  6 Pt 3.14
Ni1 0.0000 0.0000 0.5000 (multiplicity 3)  6 Pt 2.62
Pt1 0.0000 0.0000 0.3327 (multiplicity 6)  6 Pt 2.76-2.79
Pt2 0.0007 0.5004 0.9130 (multiplicity 18)  1 Ni 2.62, 6 Pt 2.72-2.79

Results
* magnetic moment: 0.1 Bohr magnetons per cell
* formation enthalpy at 0 K: -0.849 eV/atom

Entry 13:
Here is crystalline KCdClO at its relaxed geometry from the Open Quantum Materials Database. Energies are from PBE.

Cell: 3.7331 3.7331 14.4005 Å, 90.00 90.00 120.00°
With the nearest neighbours (Å) after each atom.
Space group P6_3mc (No. 186)
One atom of each set of equivalent atoms:
K1 0.0000 0.0000 0.0000 (multiplicity 2)  1 O 2.49
Cd1 0.3333 0.6667 0.2808 (multiplicity 2)  3 O 2.26
Cl1 0.3333 0.6667 0.6376 (multiplicity 2)  3 K 2.93, 3 Cd 2.98
O1 0.0000 0.0000 0.3269 (multiplicity 2)  3 Cd 2.26, 1 K 2.49

Results
* E: -3.385 eV per atom

Entry 14:
Here is crystalline AcFeTe at its relaxed geometry from the Open Quantum Materials Database. Energies are from PBE.

Cell: 6.7557 6.7557 6.7557 Å, 90.00 90.00 90.00°
With the nearest neighbours (Å) after each atom.
Space group F-43m (No. 216)
One atom of each set of equivalent atoms:
Ac1 0.0000 0.0000 0.0000 (multiplicity 4)  4 Fe 2.93
Fe1 0.2500 0.2500 0.7500 (multiplicity 4)  4 Ac 2.93, 4 Te 2.93
Te1 0.0000 0.0000 0.5000 (multiplicity 4)  4 Fe 2.93

Results
* magnetic moment: 4.0 Bohr magnetons per cell
* energy relative to the lowest polymorph listed for this composition: 0 meV per atom

Entry 15:
Here is crystalline NdDyTlNi2 at its relaxed geometry from the Open Quantum Materials Database. Energies are from PBE.

Cell: 3.7259 3.9505 14.6185 Å, 90.00 90.00 90.00°
With the nearest neighbours (Å) after each atom.
Space group Amm2 (No. 38)
One atom of each set of equivalent atoms:
Nd1 0.0000 0.0000 0.0000 (multiplicity 2)  6 Ni 2.89-3.04
Dy1 0.0000 0.0000 0.2769 (multiplicity 2)  6 Ni 2.85-2.93
Tl1 0.5000 0.0000 0.6415 (multiplicity 2)  2 Ni 2.84-3.06
Ni1 0.5000 0.0000 0.4319 (multiplicity 2)  2 Ni 2.42
Ni2 0.5000 0.0000 0.8358 (multiplicity 2)  2 Ni 2.42

Results
* magnetic moment: 0.0 Bohr magnetons per cell
* E: -5.010 eV per atom

Entry 16:
Here is crystalline Y2ErFe3Ni6 at its relaxed geometry from the Open Quantum Materials Database. Energies are from PBE.

Cell: 5.0220 5.0220 24.0365 Å, 90.00 90.00 120.00°
With the nearest neighbours (Å) after each atom.
Space group R-3m (No. 166, hexagonal axes)
One atom of each set of equivalent atoms:
Y1 0.0000 0.0000 0.1388 (multiplicity 6)  9 Ni 2.86-3.07, 3 Fe 2.98, 3 Y 3.19
Er1 0.0000 0.0000 0.0000 (multiplicity 3)  6 Fe 2.90, 12 Ni 3.19
Fe1 0.0000 0.0000 0.3332 (multiplicity 6)  6 Ni 2.44-2.45
Fe2 0.0000 0.0000 0.5000 (multiplicity 3)  6 Ni 2.50
Ni1 0.0000 0.5000 0.0820 (multiplicity 18)  3 Fe 2.44-2.50, 4 Ni 2.51

Results
* magnetic moment: 26.1 Bohr magnetons per cell
* formation enthalpy at 0 K: -0.282 eV/atom

Entry 17:
Here is crystalline Hf3CoC2 at its relaxed geometry from the Open Quantum Materials Database. Energies are from PBE.

Cell: 3.2560 3.2560 18.2511 Å, 90.00 90.00 120.00°
With the nearest neighbours (Å) after each atom.
Space group P6_3/mmc (No. 194)
One atom of each set of equivalent atoms:
Hf1 0.0000 0.0000 0.0000 (multiplicity 2)  6 C 2.33
Hf2 0.3333 0.6667 0.1445 (multiplicity 4)  3 C 2.26
Co1 0.0000 0.0000 0.2500 (multiplicity 2)  6 Hf 2.69
C1 0.3333 0.6667 0.5755 (multiplicity 4)  6 Hf 2.26-2.33

Results
* magnetic moment: 1.0 Bohr magnetons per cell
* E: -9.856 eV per atom

Entry 18:
Here is crystalline NaLaCdTe3 at its relaxed geometry from the Open Quantum Materials Database. Energies are from PBE.

Cell: 12.8312 4.6325 13.3737 Å, 90.00 90.00 90.00°
With the nearest neighbours (Å) after each atom.
Space group Pnma (No. 62)
One atom of each set of equivalent atoms:
Na1 0.1665 0.2500 0.0089 (multiplicity 4)  5 Te 3.31-3.40
La1 0.0264 0.2500 0.3152 (multiplicity 4)  6 Te 3.23-3.42
Cd1 0.2472 0.2500 0.7118 (multiplicity 4)  4 Te 2.80-2.86
Te1 0.0459 0.7500 0.1430 (multiplicity 4)  1 Cd 2.81
Te2 0.0943 0.2500 0.5622 (multiplicity 4)  1 Cd 2.80
Te3 0.2124 0.7500 0.8325 (multiplicity 4)  2 Cd 2.86

Results
* magnetic moment: 0.0 Bohr magnetons per cell
* energy relative to the lowest polymorph listed for this composition: 16 meV per atom

Entry 19:
Here is crystalline TlCdCuRe at its relaxed geometry from the Open Quantum Materials Database. Energies are from PBE.

Cell: 6.5839 6.5839 6.5839 Å, 90.00 90.00 90.00°
With the nearest neighbours (Å) after each atom.
Space group F-43m (No. 216)
One atom of each set of equivalent atoms:
Tl1 0.0000 0.0000 0.0000 (multiplicity 4)  4 Re 2.85, 4 Cu 2.85
Cd1 0.0000 0.0000 0.5000 (multiplicity 4)  4 Re 2.85, 4 Cu 2.85
Cu1 0.2500 0.2500 0.2500 (multiplicity 4)  4 Cd 2.85, 4 Tl 2.85
Re1 0.2500 0.2500 0.7500 (multiplicity 4)  4 Cd 2.85, 4 Tl 2.85

Results
* magnetic moment: 3.4 Bohr magnetons per cell
* energy relative to the lowest polymorph listed for this composition: 0 meV per atom

Entry 20:
Here is crystalline GeMo2 at its relaxed geometry from the Open Quantum Materials Database. Energies are from PBE.

Cell: 7.4187 7.4187 7.4187 Å, 90.00 90.00 90.00°
With the nearest neighbours (Å) after each atom.
Space group Fd-3m (No. 227, origin choice 2)
One atom of each set of equivalent atoms:
Ge1 0.1250 0.1250 0.1250 (multiplicity 8)  12 Mo 3.08, 4 Ge 3.21
Mo1 0.0000 0.0000 0.5000 (multiplicity 16)  6 Mo 2.62

Results
* magnetic moment: 0.0 Bohr magnetons per cell
* energy relative to the lowest polymorph listed for this composition: 0 meV per atom